[1]
Below is a geometry-optimized Pr4TcAg structure, with properties calculated at the GGA-PBE level.

```
Pr4TcAg
1.0
-5.684 3.062 0.248
-0.960 -5.130 5.937
4.828 5.933 1.996
Pr Tc Ag
8 2 2
direct
0.898 0.631 0.789
0.102 0.369 0.211
0.455 0.722 0.068
0.955 0.068 0.722
0.045 0.932 0.278
0.545 0.278 0.932
0.398 0.789 0.631
0.602 0.211 0.369
0.250 0.000 0.000
0.750 0.000 0.000
0.250 0.375 0.625
0.750 0.625 0.375
```

## Properties
E (eV per atom): -5.466
SG: No. 15

=====

[2]
Below is a geometry-optimized Pr3TcAg structure, with properties calculated at the GGA-PBE level.

```
Pr3TcAg
1.0
8.032 0.000 0.000
0.000 7.582 -3.225
0.000 0.406 9.514
Pr Ag Tc
12 4 4
direct
0.679 0.876 0.198
0.995 0.784 0.426
0.820 0.994 0.854
0.320 0.506 0.146
0.505 0.284 0.426
0.821 0.376 0.198
0.180 0.006 0.146
0.321 0.124 0.802
0.005 0.216 0.574
0.680 0.494 0.854
0.179 0.624 0.802
0.495 0.716 0.574
0.666 0.043 0.568
0.166 0.457 0.432
0.334 0.957 0.432
0.834 0.543 0.568
0.474 0.861 0.910
0.026 0.361 0.910
0.974 0.639 0.090
0.526 0.139 0.090
```

## Properties
E (eV per atom): -5.479
SG: No. 14

=====

[3]
Below is a geometry-optimized Pr8TcAg2 structure, with properties calculated at the GGA-PBE level.

```
Pr8TcAg2
1.0
6.245 -0.611 -1.494
-2.879 7.383 -4.399
-0.550 -1.413 8.936
Pr Tc Ag
8 1 2
direct
0.333 0.875 0.651
0.333 0.651 0.875
0.989 0.163 0.781
0.666 0.177 0.418
0.768 0.702 0.702
0.666 0.418 0.177
0.093 0.251 0.251
0.989 0.781 0.163
0.277 0.030 0.030
0.443 0.703 0.283
0.443 0.283 0.703
```

## Properties
E (eV per atom): -4.938
SG: No. 8

=====

[4]
Below is a geometry-optimized Pr8TcAg2 structure, with properties calculated at the GGA-PBE level.

```
Pr8TcAg2
1.0
-2.330 4.212 2.266
1.171 -2.872 6.541
8.483 2.837 -2.795
Pr Ag Tc
8 2 1
direct
0.657 0.975 0.313
0.410 0.552 0.819
0.343 0.025 0.687
0.979 0.215 0.959
0.590 0.448 0.181
0.202 0.312 0.404
0.021 0.785 0.041
0.798 0.688 0.596
0.815 0.279 0.631
0.185 0.721 0.369
0.500 0.000 0.000
```

## Properties
E (eV per atom): -4.965
SG: No. 12

=====

[5]
Below is a geometry-optimized Pr2AgTe structure, with properties calculated at the GGA-PBE level.

```
Pr2AgTe
1.0
-1.866 -2.727 2.852
1.746 -0.543 3.963
-4.421 4.765 5.004
Ag Pr Te
1 2 1
direct
0.667 0.667 0.998
0.078 0.078 0.766
0.255 0.255 0.234
0.499 0.499 0.502
```

## Properties
E (eV per atom): -4.602
SG: No. 160
Formation energy from raw total energies (kcal/mol of atoms): -16.46

=====

[6]
Below is a geometry-optimized PrAg5Te4 structure, with properties calculated at the GGA-PBE level.

```
PrAg5Te4
1.0
-3.447 1.015 2.850
-2.986 -7.803 -0.833
7.360 1.190 4.787
Te Ag Pr
4 5 1
direct
0.723 0.223 0.446
0.000 0.274 0.000
0.277 0.777 0.554
0.000 0.726 0.000
0.184 0.381 0.368
0.500 0.500 0.000
0.184 0.987 0.368
0.816 0.619 0.632
0.816 0.013 0.632
0.500 0.000 0.000
```

## Properties
E (eV per atom): -3.524
SG: No. 71
Formation energy from raw total energies (kcal/mol of atoms): -8.38

=====

[7]
Below is a geometry-optimized PrAg2Te3 structure, with properties calculated at the GGA-PBE level.

```
PrAg2Te3
1.0
-3.546 -2.744 -1.856
3.576 -1.421 -4.731
4.584 -10.374 6.579
Ag Te Pr
4 6 2
direct
0.070 0.500 0.875
0.070 0.500 0.125
0.930 0.000 0.625
0.930 0.000 0.375
0.020 0.500 0.340
0.980 0.000 0.840
0.443 0.000 0.500
0.020 0.500 0.660
0.557 0.500 0.000
0.980 0.000 0.160
0.544 0.500 0.500
0.456 0.000 0.000
```

## Properties
E (eV per atom): -3.868
SG: No. 59
Formation energy from raw total energies (kcal/mol of atoms): -12.68

=====

[8]
Below is a geometry-optimized Pr2AgTe structure, with properties calculated at the GGA-PBE level.

```
Pr2AgTe
1.0
-0.137 2.582 3.555
1.444 -1.508 3.869
7.412 2.932 0.875
Pr Te Ag
2 1 1
direct
0.252 0.252 0.245
0.748 0.748 0.755
0.500 0.500 0.500
0.000 0.000 0.000
```

## Properties
E (eV per atom): -4.645
SG: No. 166
Formation energy from raw total energies (kcal/mol of atoms): -17.47

=====

[9]
Below is a geometry-optimized Pr4AgTe5 structure, with properties calculated at the GGA-PBE level.

```
Pr4AgTe5
1.0
-3.115 -2.625 1.938
0.801 -4.402 0.576
6.521 1.134 17.265
Pr Te Ag
4 5 1
direct
0.701 0.701 0.897
0.898 0.898 0.307
0.299 0.299 0.103
0.102 0.102 0.693
0.803 0.803 0.591
0.000 0.000 0.000
0.402 0.402 0.795
0.197 0.197 0.409
0.598 0.598 0.205
0.500 0.500 0.500
```

## Properties
E (eV per atom): -4.974
SG: No. 166
Formation energy from raw total energies (kcal/mol of atoms): -27.82

=====

[10]
Below is a geometry-optimized Pr2AgTe structure, with properties calculated at the GGA-PBE level.

```
Pr2AgTe
1.0
-3.773 2.800 -2.711
-1.677 -1.716 -4.866
-4.993 -2.039 -0.585
Pr Ag Te
2 1 1
direct
0.750 0.750 0.750
0.250 0.250 0.250
0.000 0.000 0.000
0.500 0.500 0.500
```

## Properties
E (eV per atom): -4.548
SG: No. 225
Formation energy from raw total energies (kcal/mol of atoms): -15.22

=====

[11]
Below is a geometry-optimized Pr2AgTe structure, with properties calculated at the GGA-PBE level.

```
Pr2AgTe
1.0
4.706 0.000 0.000
0.000 4.214 -0.748
0.000 0.030 12.406
Te Ag Pr
2 2 4
direct
0.250 0.192 0.385
0.750 0.808 0.615
0.750 0.539 0.077
0.250 0.461 0.923
0.750 0.937 0.875
0.250 0.063 0.125
0.750 0.678 0.355
0.250 0.322 0.645
```

## Properties
E (eV per atom): -4.702
SG: No. 63
Formation energy from raw total energies (kcal/mol of atoms): -18.77

=====

[12]
Below is a geometry-optimized Pr2AgTe3 structure, with properties calculated at the GGA-PBE level.

```
Pr2AgTe3
1.0
4.137 0.000 0.000
0.000 5.180 0.000
-2.068 -2.590 8.927
Pr Te Ag
2 3 1
direct
0.641 0.641 0.282
0.359 0.359 0.718
0.823 0.823 0.645
0.177 0.177 0.355
0.000 0.500 0.000
0.000 0.000 0.000
```

## Properties
E (eV per atom): -4.649
SG: No. 71
Formation energy from raw total energies (kcal/mol of atoms): -23.28

=====

[13]
Below is a geometry-optimized Pr3AgTe4 structure, with properties calculated at the GGA-PBE level.

```
Pr3AgTe4
1.0
6.404 0.000 0.000
0.000 9.190 0.000
0.000 0.000 10.408
Te Ag Pr
8 2 6
direct
0.023 0.847 0.500
0.091 0.847 0.000
0.589 0.677 0.723
0.089 0.323 0.223
0.591 0.153 0.500
0.523 0.153 0.000
0.089 0.323 0.777
0.589 0.677 0.277
0.452 0.846 0.500
0.952 0.154 0.000
0.091 0.183 0.500
0.090 0.662 0.749
0.590 0.338 0.751
0.090 0.662 0.251
0.590 0.338 0.249
0.591 0.817 0.000
```

## Properties
E (eV per atom): -4.737
SG: No. 31
Formation energy from raw total energies (kcal/mol of atoms): -23.46

=====

[14]
Below is a geometry-optimized Pr2AgTe4 structure, with properties calculated at the GGA-PBE level.

```
Pr2AgTe4
1.0
7.917 0.000 0.169
0.000 6.331 0.000
-2.721 0.000 8.617
Te Pr Ag
8 4 2
direct
0.522 0.008 0.250
0.074 0.750 0.415
0.936 0.250 0.131
0.478 0.508 0.750
0.522 0.492 0.250
0.064 0.750 0.869
0.478 0.992 0.750
0.926 0.250 0.585
0.222 0.250 0.928
0.746 0.750 0.561
0.254 0.250 0.439
0.778 0.750 0.072
0.218 0.750 0.176
0.782 0.250 0.824
```

## Properties
E (eV per atom): -4.597
SG: No. 11
Formation energy from raw total energies (kcal/mol of atoms): -23.72

=====

[15]
Below is a geometry-optimized Pr2AgTe structure, with properties calculated at the GGA-PBE level.

```
Pr2AgTe
1.0
-2.733 -2.678 -0.976
1.511 0.323 -5.120
3.552 -3.918 0.801
Te Pr Ag
1 2 1
direct
0.500 0.000 0.000
0.000 0.000 0.500
0.000 0.500 0.000
0.500 0.500 0.500
```

## Properties
E (eV per atom): -4.626
SG: No. 123
Formation energy from raw total energies (kcal/mol of atoms): -17.01

=====

[16]
Below is a geometry-optimized Pr2ThAgTe5 structure, with properties calculated at the GGA-PBE level.

```
Pr2ThAgTe5
1.0
-3.474 -2.606 0.850
1.698 -1.622 -9.552
8.362 -10.101 3.202
Te Th Pr Ag
10 2 4 2
direct
0.958 0.916 0.573
0.503 0.006 0.276
0.640 0.280 0.502
0.712 0.424 0.175
0.692 0.383 0.840
0.288 0.576 0.675
0.042 0.084 0.073
0.497 0.994 0.776
0.308 0.617 0.340
0.360 0.720 0.002
0.195 0.389 0.010
0.805 0.611 0.510
0.888 0.776 0.188
0.112 0.224 0.688
0.874 0.748 0.804
0.126 0.252 0.304
0.434 0.869 0.457
0.566 0.131 0.957
```

## Properties
E (eV per atom): -5.064
SG: No. 36
Formation energy from raw total energies (kcal/mol of atoms): -25.72

=====

[17]
Below is a geometry-optimized Pr2UAgTe5 structure, with properties calculated at the GGA-PBE level.

```
Pr2UAgTe5
1.0
-3.007 -2.588 1.898
8.414 -3.442 3.539
-0.847 8.578 10.356
Te Pr Ag U
10 4 2 2
direct
0.502 0.004 0.277
0.044 0.087 0.076
0.693 0.387 0.842
0.307 0.613 0.342
0.713 0.425 0.170
0.359 0.719 0.001
0.287 0.575 0.670
0.641 0.281 0.501
0.956 0.913 0.576
0.498 0.996 0.777
0.873 0.747 0.805
0.127 0.253 0.305
0.112 0.225 0.687
0.888 0.775 0.187
0.434 0.868 0.458
0.566 0.132 0.958
0.806 0.612 0.509
0.194 0.388 0.009
```

## Properties
E (eV per atom): -5.335
SG: No. 36
Formation energy from raw total energies (kcal/mol of atoms): -22.07

=====

[18]
Below is a geometry-optimized Pr2YAgTe5 structure, with properties calculated at the GGA-PBE level.

```
Pr2YAgTe5
1.0
-3.437 2.496 1.205
-1.307 -1.059 -9.624
-7.221 -11.001 2.192
Te Pr Y Ag
10 4 2 2
direct
0.499 0.998 0.779
0.501 0.002 0.279
0.644 0.287 0.499
0.957 0.914 0.576
0.694 0.388 0.841
0.043 0.086 0.076
0.356 0.713 0.999
0.714 0.428 0.168
0.286 0.572 0.668
0.306 0.612 0.341
0.875 0.749 0.805
0.889 0.778 0.187
0.125 0.251 0.305
0.111 0.222 0.687
0.192 0.385 0.009
0.808 0.615 0.509
0.569 0.137 0.960
0.431 0.863 0.460
```

## Properties
E (eV per atom): -5.047
SG: No. 36
Formation energy from raw total energies (kcal/mol of atoms): -27.77

=====

[19]
Below is a geometry-optimized Pr3Y3AgTe8 structure, with properties calculated at the GGA-PBE level.

```
Pr3Y3AgTe8
1.0
8.848 0.000 0.000
-4.424 7.663 -0.027
0.000 -5.084 7.269
Pr Te Y Ag
3 8 3 1
direct
0.500 0.500 0.000
0.000 0.000 0.000
0.000 0.500 0.000
0.254 0.508 0.262
0.740 0.992 0.743
0.746 0.492 0.738
0.251 0.992 0.743
0.749 0.498 0.258
0.251 0.502 0.742
0.749 0.008 0.257
0.260 0.008 0.257
0.500 0.000 0.500
0.000 0.500 0.500
0.500 0.500 0.500
0.000 0.000 0.500
```

## Properties
E (eV per atom): -5.369
SG: No. 166
Formation energy from raw total energies (kcal/mol of atoms): -28.92

=====

[20]
Below is a geometry-optimized Pr3ThAg2 structure, with properties calculated at the GGA-PBE level.

```
Pr3ThAg2
1.0
3.726 0.000 0.000
0.000 3.726 0.000
0.000 0.000 12.639
Ag Th Pr
2 1 3
direct
0.500 0.500 0.152
0.500 0.500 0.848
0.500 0.500 0.500
0.000 0.000 0.000
0.000 0.000 0.309
0.000 0.000 0.691
```

## Properties
E (eV per atom): -4.726
SG: No. 123

=====

[21]
Below is a geometry-optimized Pr4ThAg5 structure, with properties calculated at the GGA-PBE level.

```
Pr4ThAg5
1.0
3.737 0.000 0.000
0.000 3.737 0.000
0.000 0.000 19.248
Th Pr Ag
1 4 5
direct
0.000 0.000 0.000
0.000 0.000 0.399
0.000 0.000 0.801
0.000 0.000 0.601
0.000 0.000 0.199
0.500 0.500 0.100
0.500 0.500 0.900
0.500 0.500 0.300
0.500 0.500 0.700
0.500 0.500 0.500
```

## Properties
E (eV per atom): -4.277
SG: No. 123

=====

[22]
Below is a geometry-optimized Pr2ThAg structure, with properties calculated at the GGA-PBE level.

```
Pr2ThAg
1.0
3.607 0.000 0.000
0.000 5.786 0.000
0.000 0.000 5.786
Ag Pr Th
1 2 1
direct
0.500 0.000 0.000
0.000 0.500 0.000
0.000 0.000 0.500
0.500 0.500 0.500
```

## Properties
E (eV per atom): -4.933
SG: No. 123

=====

Respective density values: 7.2 7.1 7.0 7.1 6.7 6.9 6.3 6.7 6.7 7.6 7.0 6.7 5.6 6.9 7.6 7.3 7.5 6.6 6.1 8.2 8.2 8.6 g cm⁻³.
Respective magnetization values: 0.0 0.0 0.0 0.0 0.0 0.0 0.0 0.0 0.0 0.4 0.0 0.0 0.0 0.0 0.0 0.0 5.8 0.0 0.0 0.0 0.4 0.0 Bohr magnetons per cell.